Below is a relaxed Tb5Zn4Pd crystal, with properties calculated at the PBE-GGA level.

The structure belongs to space group P4/mmm (No. 123); the cell edges are 3.590, 3.590 and 17.636 Å and the angles 90.00°, 90.00° and 90.00°. Symmetry generates all atoms from Tb at (0.000, 0.000, 0.000), Tb at (0.000, 0.000, 0.202), Tb at (0.000, 0.000, 0.404), Zn at (0.500, 0.500, 0.102), Zn at (0.500, 0.500, 0.301) and Pd at (0.500, 0.500, 0.500).

For the formation energy from the elements, the calculation gives -0.45 eV per atom.

=====

Below is a relaxed Mn7Pt crystal, with properties calculated at the PBE-GGA level.

The structure belongs to space group Fm-3m (No. 225); the cell edges are 7.191, 7.191 and 7.191 Å and the angles 90.00°, 90.00° and 90.00°. Symmetry generates all atoms from Mn at (0.000, 0.000, 0.000), Mn at (0.000, 0.250, 0.250) and Pt at (0.000, 0.000, 0.500).

For the formation energy from the elements, the calculation gives 0.05 eV per atom.

=====

Computed calculated volume, in the same sequence as the records: 22.730; 11.621 Å³/atom.